# ZnCoTc | Alexandria via LeMat-Bulk | PBE | relaxed
# DOS at the Fermi energy in states/eV/f.u.: 2.64
# ΔE to the lowest computed polymorph in eV per atom: 0.135
# Calculated formation energy in eV per atom: 0.14
data_ZnCoTc
_chemical_formula_sum 'Zn1 Co1 Tc1'
_space_group_name_H-M_alt 'P -6 m 2'
_space_group_IT_number 187
_space_group_name_Hall 'P -6 2'
_cell_length_a 4.1461
_cell_length_b 4.1461
_cell_length_c 2.5789
_cell_angle_alpha 90.00
_cell_angle_beta 90.00
_cell_angle_gamma 120.00
loop_
_atom_site_label
_atom_site_type_symbol
_atom_site_fract_x
_atom_site_fract_y
_atom_site_fract_z
Zn1 Zn 0.0000 0.0000 0.0000
Co1 Co 0.3333 0.6667 0.0000
Tc1 Tc 0.6667 0.3333 0.5000